Entry 1:
VASP calculation (GGA-PBE) on a geometry-optimized Y2HfIrF structure.

Formation energy (no corrections) ... 0.06 eV per atom
D(E_F) ... 5.383 states/eV/cell

Lattice parameters (Å, degrees): 5.534 5.534 4.064 90.00 90.00 90.00
Fractional coordinates of all 5 atoms:
Y: 0.000 0.500 0.000
Y: 0.500 0.000 0.000
Hf: 0.000 0.000 0.500
Ir: 0.500 0.500 0.000
F: 0.500 0.500 0.500

---

Entry 2:
VASP calculation (GGA-PBE) on a geometry-optimized YHf2IrF structure.

Formation energy (no corrections) ... 0.10 eV per atom
D(E_F) ... 7.562 states/eV/cell

Lattice parameters (Å, degrees): 5.119 5.119 4.427 90.00 90.00 90.00
Fractional coordinates of all 5 atoms:
Y: 0.000 0.000 0.000
Hf: 0.000 0.500 0.500
Hf: 0.500 0.000 0.500
Ir: 0.500 0.500 0.500
F: 0.500 0.500 0.000

---

Entry 3:
VASP calculation (GGA-PBE) on a geometry-optimized K3HfF8 structure.

Formation energy (no corrections) ... -3.02 eV per atom
D(E_F) ... 10.889 states/eV/cell

Lattice parameters (Å, degrees): 5.904 5.904 5.904 90.00 90.00 90.00
Fractional coordinates of all 12 atoms:
K: 0.000 0.000 0.500
K: 0.000 0.500 0.000
K: 0.500 0.000 0.000
Hf: 0.500 0.500 0.500
F: 0.292 0.292 0.292
F: 0.292 0.292 0.708
F: 0.292 0.708 0.292
F: 0.292 0.708 0.708
F: 0.708 0.292 0.292
F: 0.708 0.292 0.708
F: 0.708 0.708 0.292
F: 0.708 0.708 0.708

---

Entry 4:
VASP calculation (GGA-PBE) on a geometry-optimized K2HfF2 structure.

ΔE to the lowest computed polymorph ... 0 meV/atom
Formation energy (no corrections) ... -1.06 eV per atom
D(E_F) ... 5.775 states/eV/cell

Lattice parameters (Å, degrees): 7.868 7.868 3.396 90.00 90.00 90.00
Fractional coordinates of all 10 atoms:
K: 0.139 0.361 0.000
K: 0.361 0.861 0.000
K: 0.639 0.139 0.000
K: 0.861 0.639 0.000
Hf: 0.000 0.000 0.500
Hf: 0.500 0.500 0.500
F: 0.167 0.667 0.500
F: 0.333 0.167 0.500
F: 0.667 0.833 0.500
F: 0.833 0.333 0.500

---

Entry 5:
VASP calculation (GGA-PBE) on a geometry-optimized K2HfF2 structure.

ΔE to the lowest computed polymorph ... 236 meV/atom
Formation energy (no corrections) ... -0.83 eV per atom
D(E_F) ... 5.022 states/eV/cell

Lattice parameters (Å, degrees): 8.165 8.165 8.165 146.32 146.32 48.38
Fractional coordinates of all 5 atoms:
K: 0.250 0.750 0.500
K: 0.750 0.250 0.500
Hf: 0.000 0.000 0.000
F: 0.310 0.310 0.000
F: 0.690 0.690 0.000

---

Entry 6:
VASP calculation (GGA-PBE) on a geometry-optimized KHfF2 structure.

ΔE to the lowest computed polymorph ... 675 meV/atom
Formation energy (no corrections) ... -1.61 eV per atom
D(E_F) ... 6.875 states/eV/cell

Lattice parameters (Å, degrees): 6.286 6.286 6.286 123.12 123.12 84.68
Fractional coordinates of all 8 atoms:
K: 0.000 0.000 0.000
K: 0.750 0.250 0.500
Hf: 0.250 0.750 0.500
Hf: 0.500 0.500 0.000
F: 0.175 0.625 0.050
F: 0.375 0.425 0.550
F: 0.575 0.125 0.950
F: 0.875 0.825 0.450

---

Entry 7:
VASP calculation (GGA-PBE) on a geometry-optimized KHfF4 structure.

Formation energy (no corrections) ... -3.23 eV per atom
D(E_F) ... 1.128 states/eV/cell

Lattice parameters (Å, degrees): 6.107 6.107 6.107 94.47 94.47 147.57
Fractional coordinates of all 6 atoms:
K: 0.000 0.000 0.000
Hf: 0.750 0.250 0.500
F: 0.127 0.405 0.740
F: 0.595 0.334 0.722
F: 0.613 0.873 0.278
F: 0.666 0.387 0.260

---

Entry 8:
VASP calculation (GGA-PBE) on a geometry-optimized KHfF2 structure.

ΔE to the lowest computed polymorph ... 0 meV/atom
Formation energy (no corrections) ... -2.28 eV per atom
D(E_F) ... 2.243 states/eV/cell

Lattice parameters (Å, degrees): 7.500 7.500 7.500 27.30 27.30 27.30
Fractional coordinates of all 4 atoms:
K: 0.000 0.000 0.000
Hf: 0.500 0.500 0.500
F: 0.406 0.406 0.406
F: 0.594 0.594 0.594

---

Entry 9:
VASP calculation (GGA-PBE) on a geometry-optimized KHf2F8 structure.

ΔE to the lowest computed polymorph ... 84 meV/atom
Formation energy (no corrections) ... -3.39 eV per atom
D(E_F) ... 1.768 states/eV/cell

Lattice parameters (Å, degrees): 7.179 7.179 4.151 90.96 90.96 50.02
Fractional coordinates of all 11 atoms:
K: 0.000 0.000 0.000
Hf: 0.275 0.275 0.601
Hf: 0.725 0.725 0.399
F: 0.076 0.631 0.389
F: 0.224 0.224 0.098
F: 0.369 0.924 0.611
F: 0.401 0.401 0.852
F: 0.599 0.599 0.148
F: 0.631 0.076 0.389
F: 0.776 0.776 0.902
F: 0.924 0.369 0.611

---

Entry 10:
VASP calculation (GGA-PBE) on a geometry-optimized K6HfF12 structure.

Formation energy (no corrections) ... -2.80 eV per atom
D(E_F) ... 8.170 states/eV/cell

Lattice parameters (Å, degrees): 7.386 7.386 7.386 99.10 99.10 99.10
Fractional coordinates of all 19 atoms:
K: 0.109 0.779 0.657
K: 0.221 0.343 0.891
K: 0.343 0.891 0.221
K: 0.657 0.109 0.779
K: 0.779 0.657 0.109
K: 0.891 0.221 0.343
Hf: 0.500 0.500 0.500
F: 0.036 0.920 0.354
F: 0.080 0.646 0.964
F: 0.227 0.443 0.515
F: 0.354 0.036 0.920
F: 0.443 0.515 0.227
F: 0.485 0.773 0.557
F: 0.515 0.227 0.443
F: 0.557 0.485 0.773
F: 0.646 0.964 0.080
F: 0.773 0.557 0.485
F: 0.920 0.354 0.036
F: 0.964 0.080 0.646

---

Entry 11:
VASP calculation (GGA-PBE) on a geometry-optimized KHf2F8 structure.

ΔE to the lowest computed polymorph ... 0 meV/atom
Formation energy (no corrections) ... -3.47 eV per atom
D(E_F) ... 2.232 states/eV/cell

Lattice parameters (Å, degrees): 6.093 6.093 4.169 95.57 95.57 113.27
Fractional coordinates of all 11 atoms:
K: 0.000 0.000 0.000
Hf: 0.321 0.679 0.500
Hf: 0.679 0.321 0.500
F: 0.045 0.335 0.564
F: 0.270 0.730 0.000
F: 0.335 0.045 0.564
F: 0.409 0.409 0.238
F: 0.591 0.591 0.762
F: 0.665 0.955 0.436
F: 0.730 0.270 0.000
F: 0.955 0.665 0.436

---

Entry 12:
VASP calculation (GGA-PBE) on a geometry-optimized KHfF2 structure.

ΔE to the lowest computed polymorph ... 1364 meV/atom
Formation energy (no corrections) ... -0.92 eV per atom
D(E_F) ... 1.722 states/eV/cell

Lattice parameters (Å, degrees): 4.673 4.673 4.673 60.00 60.00 60.00
Fractional coordinates of all 4 atoms:
K: 0.000 0.000 0.000
Hf: 0.500 0.500 0.500
F: 0.250 0.250 0.250
F: 0.750 0.750 0.750

---

Entry 13:
VASP calculation (GGA-PBE) on a geometry-optimized KHfF2 structure.

ΔE to the lowest computed polymorph ... 618 meV/atom
Formation energy (no corrections) ... -1.67 eV per atom
D(E_F) ... 2.480 states/eV/cell

Lattice parameters (Å, degrees): 8.525 8.525 8.525 21.29 21.29 21.29
Fractional coordinates of all 4 atoms:
K: 0.000 0.000 0.000
Hf: 0.500 0.500 0.500
F: 0.100 0.100 0.100
F: 0.900 0.900 0.900

---

Entry 14:
VASP calculation (GGA-PBE) on a geometry-optimized KLi2HfF8 structure.

Formation energy (no corrections) ... -3.02 eV per atom
D(E_F) ... 9.417 states/eV/cell

Lattice parameters (Å, degrees): 5.798 5.798 7.334 90.00 90.00 120.00
Fractional coordinates of all 12 atoms:
K: 0.000 0.000 0.000
Li: 0.333 0.667 0.256
Li: 0.667 0.333 0.744
Hf: 0.000 0.000 0.500
F: 0.158 0.315 0.332
F: 0.158 0.842 0.332
F: 0.315 0.158 0.668
F: 0.333 0.667 0.995
F: 0.667 0.333 0.005
F: 0.685 0.842 0.332
F: 0.842 0.158 0.668
F: 0.842 0.685 0.668

---

| no. | VASP energy (eV/atom) |
| --- | --- |
| 1 | -6.667 |
| 2 | -7.321 |
| 3 | -5.370 |
| 4 | -4.240 |
| 5 | -4.004 |
| 6 | -5.308 |
| 7 | -6.317 |
| 8 | -5.983 |
| 9 | -6.661 |
| 10 | -4.857 |
| 11 | -6.745 |
| 12 | -4.619 |
| 13 | -5.365 |
| 14 | -5.511 |